1.
First-principles (GGA-PBE) data for crystalline LiTl4Cl5 at its relaxed geometry, as listed in Alexandria.

Geometry as extended XYZ:
```
10
Lattice="2.1644 1.2496 18.8384 -2.1644 1.2496 18.8384 0.0000 -2.4992 18.8384" Properties=species:S:1:pos:R:3 pbc="T T T"
Li 0.0000 0.0000 0.0000
Tl 0.0000 0.0000 11.4398
Tl 0.0000 0.0000 22.1971
Tl 0.0000 0.0000 34.3182
Tl 0.0000 0.0000 45.0756
Cl 0.0000 0.0000 5.3786
Cl 0.0000 0.0000 17.5222
Cl 0.0000 0.0000 28.2577
Cl 0.0000 0.0000 38.9931
Cl 0.0000 0.0000 51.1367
```

Formation energy without anion corrections ... -1.1258 eV/atom
Electronic total energy ... -3.19 eV/atom
Mass density ... 5.441 g cm⁻³


2.
First-principles (GGA-PBE) data for crystalline LiTl2Cl8 at its relaxed geometry, as listed in Alexandria.

Geometry as extended XYZ:
```
11
Lattice="6.8443 -4.4013 0.0000 6.8443 4.4013 0.0000 -1.3637 0.0000 6.0006" Properties=species:S:1:pos:R:3 pbc="T T T"
Li 0.0000 0.0000 0.0000
Tl 1.6140 0.0000 3.9157
Tl 10.7110 0.0000 2.0849
Cl 5.5026 2.5786 1.5073
Cl 2.0170 0.0000 1.4594
Cl 6.8224 2.5786 4.4933
Cl 3.7747 0.0000 4.9710
Cl 8.5503 0.0000 1.0296
Cl 5.5026 -2.5786 1.5073
Cl 10.3079 0.0000 4.5412
Cl 6.8224 -2.5786 4.4933
```

Formation energy without anion corrections ... -0.6857 eV/atom
Electronic total energy ... -2.63 eV/atom
Mass density ... 3.212 g cm⁻³


3.
First-principles (GGA-PBE) data for crystalline LiTlCl2 at its relaxed geometry, as listed in Alexandria.

Geometry as extended XYZ:
```
4
Lattice="4.7001 0.0000 0.0000 0.0000 4.2185 0.0000 -0.0541 0.0000 6.4156" Properties=species:S:1:pos:R:3 pbc="T T T"
Li 0.0000 0.0000 0.0000
Tl 1.5366 2.1092 3.6961
Cl 0.8440 2.1092 0.5873
Cl 3.9091 0.0000 4.2096
```

Formation energy without anion corrections ... -1.3496 eV/atom
Polymorph energy (0 for the lowest one) ... 0.18 eV/f.u.
Electronic total energy ... -3.34 eV/atom
Mass density ... 3.684 g cm⁻³


4.
First-principles (GGA-PBE) data for crystalline Li2TlCl at its relaxed geometry, as listed in Alexandria.

Geometry as extended XYZ:
```
8
Lattice="16.0799 0.0000 0.0000 0.0000 3.1441 0.0000 -0.7268 0.0000 3.4073" Properties=species:S:1:pos:R:3 pbc="T T T"
Li 0.0000 0.0000 0.0000
Li 2.5561 0.0000 2.3275
Li 8.0400 1.5721 0.0000
Li 10.5960 1.5721 2.3275
Tl 5.0328 1.5721 1.0797
Tl 13.0728 0.0000 1.0797
Cl 0.7011 1.5721 1.9395
Cl 8.7411 0.0000 1.9395
```

Formation energy without anion corrections ... -0.8231 eV/atom
Electronic total energy ... -2.83 eV/atom
Mass density ... 4.891 g cm⁻³


5.
First-principles (GGA-PBE) data for crystalline Li4Tl2Cl9 at its relaxed geometry, as listed in Alexandria.

Geometry as extended XYZ:
```
30
Lattice="6.6327 0.0000 0.0000 -3.3164 5.7441 0.0000 0.0000 0.0000 18.2484" Properties=species:S:1:pos:R:3 pbc="T T T"
Li 0.0000 3.8294 0.1894
Li 0.0000 3.8294 5.9267
Li 0.0000 3.8294 9.4742
Li 0.0000 3.8294 15.1200
Li 3.3164 1.9147 3.1284
Li 3.3164 1.9147 8.7742
Li 3.3164 1.9147 12.3216
Li 3.3164 1.9147 18.0590
Tl 0.0000 0.0000 2.5208
Tl 0.0000 0.0000 6.3615
Tl 0.0000 0.0000 11.8869
Tl 0.0000 0.0000 15.7276
Cl -2.2479 3.9053 4.7318
Cl -1.9689 3.5963 16.7345
Cl -1.0278 2.0455 7.6670
Cl 1.0582 1.8448 4.7318
Cl 2.1267 0.0059 13.5166
Cl -1.0310 5.6115 7.6670
Cl 1.2575 1.9129 10.5813
Cl 1.1864 2.2408 16.7345
Cl 2.5338 0.0930 1.5139
Cl 0.7825 5.6511 16.7345
Cl 2.1300 3.5033 1.5139
Cl 2.0589 3.8313 7.6670
Cl 4.3474 0.1326 10.5813
Cl 1.1896 5.7382 4.7318
Cl 2.2582 3.8993 13.5166
Cl 4.3442 3.6987 10.5813
Cl 5.2853 2.1479 1.5139
Cl 5.5642 1.8388 13.5166
```

Formation energy without anion corrections ... -1.2410 eV/atom
Electronic total energy ... -3.17 eV/atom
Mass density ... 3.609 g cm⁻³


6.
First-principles (GGA-PBE) data for crystalline LiTlCl2 at its relaxed geometry, as listed in Alexandria.

Geometry as extended XYZ:
```
8
Lattice="6.9202 0.0000 0.0000 0.0000 3.9634 0.0000 -2.3151 0.0000 7.1930" Properties=species:S:1:pos:R:3 pbc="T T T"
Li 0.0000 0.0000 0.0000
Li 3.4601 1.9817 0.0000
Tl -1.1575 1.9817 3.5965
Tl 2.3025 0.0000 3.5965
Cl 1.1378 1.9817 1.3852
Cl 0.0072 0.0000 5.8078
Cl 4.5979 0.0000 1.3852
Cl 3.4672 1.9817 5.8078
```

Formation energy without anion corrections ... -1.3465 eV/atom
Polymorph energy (0 for the lowest one) ... 0.20 eV/f.u.
Electronic total energy ... -3.34 eV/atom
Mass density ... 4.751 g cm⁻³


7.
First-principles (GGA-PBE) data for crystalline Li2TlCl at its relaxed geometry, as listed in Alexandria.

Geometry as extended XYZ:
```
4
Lattice="3.6344 0.0000 0.0000 0.0000 6.9089 0.0000 -0.0026 0.0000 3.9037" Properties=species:S:1:pos:R:3 pbc="T T T"
Li 0.0000 0.0000 0.0000
Li 1.1795 3.4544 0.0349
Tl 1.8390 0.0000 1.9534
Cl 2.7227 3.4544 1.9917
```

Formation energy without anion corrections ... -0.6632 eV/atom
Electronic total energy ... -2.67 eV/atom
Mass density ... 4.298 g cm⁻³


8.
First-principles (GGA-PBE) data for crystalline Li2TlCl at its relaxed geometry, as listed in Alexandria.

Geometry as extended XYZ:
```
4
Lattice="4.9558 0.0000 0.0000 0.0000 4.9558 0.0000 0.0000 0.0000 3.4332" Properties=species:S:1:pos:R:3 pbc="T T T"
Li 0.0000 2.4779 0.0000
Li 2.4779 0.0000 0.0000
Tl 0.0000 0.0000 1.7166
Cl 2.4779 2.4779 1.7166
```

Formation energy without anion corrections ... -0.5704 eV/atom
Electronic total energy ... -2.58 eV/atom
Mass density ... 4.997 g cm⁻³


9.
First-principles (GGA-PBE) data for crystalline Li2TlCl5 at its relaxed geometry, as listed in Alexandria.

Geometry as extended XYZ:
```
16
Lattice="11.6202 0.0000 0.0000 0.0000 8.0467 0.0000 -3.4243 0.0000 5.4282" Properties=species:S:1:pos:R:3 pbc="T T T"
Li 0.0000 1.6996 0.0000
Li 0.0000 6.3471 0.0000
Li 5.8101 2.3237 0.0000
Li 5.8101 5.7230 0.0000
Tl -0.0379 0.0000 4.2567
Tl 5.7722 4.0234 4.2567
Cl 0.5016 0.0000 1.7564
Cl -0.0693 2.2535 5.3190
Cl -0.0693 5.7932 5.3190
Cl 3.1549 4.0234 3.8473
Cl 2.5857 0.0000 4.8512
Cl 6.3117 4.0234 1.7564
Cl 5.7408 1.7699 5.3190
Cl 5.7408 6.2768 5.3190
Cl 8.9650 0.0000 3.8473
Cl 8.3958 4.0234 4.8512
```

Formation energy without anion corrections ... -1.2063 eV/atom
Electronic total energy ... -3.13 eV/atom
Mass density ... 2.588 g cm⁻³


10.
First-principles (GGA-PBE) data for crystalline LiTlCl2 at its relaxed geometry, as listed in Alexandria.

Geometry as extended XYZ:
```
8
Lattice="4.7597 0.0000 0.0000 0.0000 4.7597 0.0000 0.0000 0.0000 9.1065" Properties=species:S:1:pos:R:3 pbc="T T T"
Li 1.1899 1.1899 0.7339
Li 3.5698 3.5698 8.3726
Tl 1.1899 1.1899 6.2586
Tl 3.5698 3.5698 2.8479
Cl 1.1899 1.1899 3.1439
Cl 1.1899 3.5698 0.0000
Cl 3.5698 1.1899 0.0000
Cl 3.5698 3.5698 5.9626
```

Formation energy without anion corrections ... -1.3955 eV/atom
Polymorph energy (0 for the lowest one) ... 0.00 eV/f.u.
Electronic total energy ... -3.39 eV/atom
Mass density ... 4.543 g cm⁻³


11.
First-principles (GGA-PBE) data for crystalline Li2Tl2Cl7 at its relaxed geometry, as listed in Alexandria.

Geometry as extended XYZ:
```
22
Lattice="7.0907 0.0000 0.0000 0.0000 13.3967 0.0000 -1.9237 0.0000 7.2184" Properties=species:S:1:pos:R:3 pbc="T T T"
Li 0.8814 2.6351 2.3216
Li -0.0805 4.0632 5.9308
Li 5.2475 9.3335 1.2876
Li 4.2856 10.7616 4.8969
Tl 0.8752 8.0899 4.9999
Tl 1.8371 12.0052 1.3906
Tl 3.3299 1.3915 5.8278
Tl 4.2918 5.3069 2.2186
Cl -0.9594 9.4386 3.7484
Cl 0.0025 10.6565 0.1392
Cl 0.6587 0.2764 2.8944
Cl -0.3032 6.4220 6.5036
Cl 1.9190 3.2161 4.6530
Cl 2.8808 3.4823 1.0437
Cl 3.5453 0.0000 0.0000
Cl 2.5835 6.6984 3.6092
Cl 2.2861 9.9144 6.1747
Cl 3.2480 10.1807 2.5655
Cl 5.4702 6.9748 0.7148
Cl 4.5083 13.1204 4.3240
Cl 5.1644 2.7402 7.0792
Cl 6.1263 3.9581 3.4700
```

Formation energy without anion corrections ... -1.0321 eV/atom
Electronic total energy ... -2.99 eV/atom
Mass density ... 3.249 g cm⁻³


12.
First-principles (GGA-PBE) data for crystalline LiTlCl2 at its relaxed geometry, as listed in Alexandria.

Geometry as extended XYZ:
```
4
Lattice="3.5491 0.0000 0.0000 0.0000 3.5491 0.0000 0.0000 0.0000 7.4814" Properties=species:S:1:pos:R:3 pbc="T T T"
Li 0.0000 0.0000 0.0000
Tl 0.0000 0.0000 3.7407
Cl 1.7745 1.7745 1.6118
Cl 1.7745 1.7745 5.8696
```

Formation energy without anion corrections ... -1.1922 eV/atom
Polymorph energy (0 for the lowest one) ... 0.81 eV/f.u.
Electronic total energy ... -3.19 eV/atom
Mass density ... 4.973 g cm⁻³


13.
First-principles (GGA-PBE) data for crystalline LiTl3Cl at its relaxed geometry, as listed in Alexandria.

Geometry as extended XYZ:
```
5
Lattice="5.8812 0.0000 0.0000 0.0000 5.8812 0.0000 0.0000 0.0000 5.8812" Properties=species:S:1:pos:R:3 pbc="T T T"
Li 0.0000 0.0000 0.0000
Tl 0.0000 2.9406 2.9406
Tl 2.9406 0.0000 2.9406
Tl 2.9406 2.9406 0.0000
Cl 2.9406 2.9406 2.9406
```

Formation energy without anion corrections ... -0.0722 eV/atom
Polymorph energy (0 for the lowest one) ... 0.64 eV/f.u.
Electronic total energy ... -2.24 eV/atom
Mass density ... 5.351 g cm⁻³